The following is a PBE calculation of an optimized crystal structure of SrZr2Zn, from the Alexandria database.

Unit cell a=10.4150 b=10.4150 c=10.4150 alpha=18.95 beta=18.95 gamma=18.95
Atoms (fractional coordinates):
Sr 0.4924 0.4924 0.4924
Zr 0.0049 0.0049 0.0049
Zr 0.2611 0.2611 0.2611
Zn 0.7416 0.7416 0.7416

DFT total energy in eV/atom: -4.7963
Volume in Å³ per cell: 104.1
Energy relative to the elements in eV/atom: 0.217
Spin magnetization in μB/f.u.: 0.00
Theoretical density in g/cm3: 5.3